Computed, not measured: a relaxed structure of AlGaMo at the PBE level of DFT.

The space group is P-6m2 (No. 187) and the conventional cell measures 4.4245, 4.4245 and 2.6944 Å, with angles of 90.00, 90.00 and 120.00 degrees. Symmetry generates all atoms from Al at (0.0000, 0.0000, 0.0000), Ga at (0.6667, 0.3333, 0.0000) and Mo at (0.3333, 0.6667, 0.5000).

The density of states at the Fermi level comes out at 0.58 states/eV/atom. The crystal system is hexagonal. The value obtained for the theoretical density is 7.00 g/cm3. For the energy of formation, the calculation gives -0.0549 eV per atom. For the energy above the most stable polymorph in this dataset, the calculation gives 123 meV per atom.